A plane-wave DFT calculation with PBE was carried out for LiZn2Ni after structural relaxation.

The structure belongs to space group P4mm (No. 99); the cell edges are 3.062, 3.062 and 5.563 Å and the angles 90.00°, 90.00° and 90.00°. The distinct sites, in fractional coordinates, are Li at (0.000, 0.000, 0.000), Zn at (0.000, 0.000, 0.461), Zn at (0.500, 0.500, 0.746) and Ni at (0.500, 0.500, 0.236).

The calculated total energy is -10.65 eV/f.u. As for the formation energy from the elements: -101.9 meV per atom. Its calculated volume is 52.2 Å³/f.u.

***

A plane-wave DFT calculation with PBE was carried out for LiZn6Ni2 after structural relaxation.

The structure belongs to space group P6/mmm (No. 191); the cell edges are 5.2418, 5.2418 and 6.4797 Å and the angles 90.00°, 90.00° and 120.00°. The distinct sites, in fractional coordinates, are Li at (0.0000, 0.0000, 0.0000), Zn at (0.0000, 0.5000, 0.2051) and Ni at (0.3333, 0.6667, 0.5000).

The calculated total energy is -20.32 eV/f.u. As for the formation energy from the elements: 89.4 meV per atom. Its calculated volume is 154.2 Å³/f.u.

***

A plane-wave DFT calculation with PBE was carried out for LiZn2Ni after structural relaxation.

The structure belongs to space group R-3m (No. 166, hexagonal axes); the cell edges are 2.6810, 2.6810 and 25.8481 Å and the angles 90.00°, 90.00° and 120.00°. The distinct sites, in fractional coordinates, are Li at (0.0000, 0.0000, 0.0000), Zn at (0.0000, 0.0000, 0.2449) and Ni at (0.0000, 0.0000, 0.5000).

The calculated total energy is -10.84 eV/f.u. As for the formation energy from the elements: -149.8 meV per atom. Its calculated volume is 53.6 Å³/f.u.

***

A plane-wave DFT calculation with PBE was carried out for Li4Zn5Ni2 after structural relaxation.

The structure belongs to space group C2/m (No. 12); the cell edges are 8.596, 5.318 and 6.662 Å and the angles 90.00°, 92.11° and 90.00°. The distinct sites, in fractional coordinates, are Li at (0.124, 0.000, 0.139), Li at (0.180, 0.000, 0.500), Zn at (0.000, 0.500, 0.500), Zn at (0.125, 0.256, 0.824) and Ni at (0.127, 0.500, 0.161).

The calculated total energy is -27.34 eV/f.u. As for the formation energy from the elements: -159.0 meV per atom. Its calculated volume is 152.2 Å³/f.u.

***

A plane-wave DFT calculation with PBE was carried out for Li3Zn3Ni2 after structural relaxation.

The structure belongs to space group C2/m (No. 12); the cell edges are 14.728, 3.871 and 3.824 Å and the angles 90.00°, 104.72° and 90.00°. The distinct sites, in fractional coordinates, are Li at (0.000, 0.000, 0.000), Li at (0.135, 0.000, 0.637), Zn at (0.000, 0.500, 0.500), Zn at (0.140, 0.500, 0.142) and Ni at (0.250, 0.000, 0.250).

The calculated total energy is -22.36 eV/f.u. As for the formation energy from the elements: -154.1 meV per atom. Its calculated volume is 105.4 Å³/f.u.

***

A plane-wave DFT calculation with PBE was carried out for Li5Zn2Ni after structural relaxation.

The structure belongs to space group Pbam (No. 55); the cell edges are 5.575, 11.084 and 3.789 Å and the angles 90.00°, 90.00° and 90.00°. The distinct sites, in fractional coordinates, are Li at (0.000, 0.000, 0.000), Li at (0.043, 0.254, 0.000), Li at (0.230, 0.873, 0.500), Zn at (0.201, 0.608, 0.500) and Ni at (0.000, 0.500, 0.000).

The calculated total energy is -18.73 eV/f.u. As for the formation energy from the elements: -104.4 meV per atom. Its calculated volume is 117.1 Å³/f.u.

***

A plane-wave DFT calculation with PBE was carried out for LiZn6Ni2 after structural relaxation.

The structure belongs to space group P-3m1 (No. 164); the cell edges are 4.1838, 4.1838 and 7.7974 Å and the angles 90.00°, 90.00° and 120.00°. The distinct sites, in fractional coordinates, are Li at (0.0000, 0.0000, 0.0000), Zn at (0.0000, 0.0000, 0.3159), Zn at (0.3333, 0.6667, 0.5660), Zn at (0.3333, 0.6667, 0.9042) and Ni at (0.3333, 0.6667, 0.2334).

The calculated total energy is -22.69 eV/f.u. As for the formation energy from the elements: -174.3 meV per atom. Its calculated volume is 118.2 Å³/f.u.

***

A plane-wave DFT calculation with PBE was carried out for LiZnNi2 after structural relaxation.

The structure belongs to space group Cm (No. 8); the cell edges are 8.558, 2.573 and 4.367 Å and the angles 90.00°, 100.48° and 90.00°. The distinct sites, in fractional coordinates, are Li at (0.000, 0.000, 0.000), Zn at (0.239, 0.000, 0.739), Ni at (0.256, 0.500, 0.251) and Ni at (0.493, 0.000, 0.487).

The calculated total energy is -15.22 eV/f.u. As for the formation energy from the elements: -116.3 meV per atom. Its calculated volume is 47.3 Å³/f.u.

***

A plane-wave DFT calculation with PBE was carried out for LiZn6Ni3 after structural relaxation.

The structure belongs to space group P2_1/c (No. 14); the cell edges are 6.445, 6.374 and 8.146 Å and the angles 90.00°, 122.70° and 90.00°. The distinct sites, in fractional coordinates, are Li at (0.000, 0.000, 0.000), Zn at (0.125, 0.059, 0.679), Zn at (0.255, 0.692, 0.845), Zn at (0.468, 0.142, 0.273), Ni at (0.254, 0.169, 0.448) and Ni at (0.500, 0.000, 0.000).

The calculated total energy is -28.28 eV/f.u. As for the formation energy from the elements: -137.4 meV per atom. Its calculated volume is 140.8 Å³/f.u.

***

A plane-wave DFT calculation with PBE was carried out for LiZnNi6 after structural relaxation.

The structure belongs to space group Cmmm (No. 65); the cell edges are 7.084, 10.064 and 10.052 Å and the angles 90.00°, 90.00° and 90.00°. The distinct sites, in fractional coordinates, are Li at (0.000, 0.000, 0.249), Li at (0.000, 0.251, 0.000), Zn at (0.000, 0.249, 0.500), Zn at (0.000, 0.500, 0.248), Ni at (0.000, 0.000, 0.000), Ni at (0.000, 0.000, 0.500), Ni at (0.000, 0.250, 0.248), Ni at (0.000, 0.500, 0.000), Ni at (0.000, 0.500, 0.500), Ni at (0.248, 0.125, 0.124) and Ni at (0.249, 0.125, 0.374).

The calculated total energy is -38.17 eV/f.u. As for the formation energy from the elements: -36.4 meV per atom. Its calculated volume is 89.6 Å³/f.u.

***

A plane-wave DFT calculation with PBE was carried out for LiZn6Ni after structural relaxation.

The structure belongs to space group R-3m (No. 166, hexagonal axes); the cell edges are 6.6943, 6.6943 and 10.2266 Å and the angles 90.00°, 90.00° and 120.00°. The distinct sites, in fractional coordinates, are Li at (0.0000, 0.0000, 0.0000), Zn at (0.0800, 0.5400, 0.8862) and Ni at (0.0000, 0.0000, 0.5000).

The calculated total energy is -15.11 eV/f.u. As for the formation energy from the elements: 28.1 meV per atom. Its calculated volume is 132.3 Å³/f.u.

***

A plane-wave DFT calculation with PBE was carried out for LiZn2Ni3 after structural relaxation.

The structure belongs to space group P4/mmm (No. 123); the cell edges are 2.877, 2.877 and 8.515 Å and the angles 90.00°, 90.00° and 90.00°. The distinct sites, in fractional coordinates, are Li at (0.000, 0.000, 0.000), Zn at (0.000, 0.000, 0.327), Ni at (0.500, 0.500, 0.160) and Ni at (0.500, 0.500, 0.500).

The calculated total energy is -22.62 eV/f.u. As for the formation energy from the elements: -136.2 meV per atom. Its calculated volume is 70.5 Å³/f.u.